The following is a GGA-PBE calculation of a relaxed structure of CdSiW, from the Alexandria database.

Computed properties:
Volume = 17.0 A^3/atom
Total moment = 0.00 μB/cell
ΔE_f (raw) = 0.534 eV/atom
Distance to the lowest polymorph of the same formula = 137 meV per atom
Fermi-level density of states = 2.2 states/eV/f.u.

CIF file:
```
data_CdSiW
_chemical_formula_sum 'Cd1 Si1 W1'
_space_group_name_H-M_alt 'P -6 m 2'
_space_group_IT_number 187
_space_group_name_Hall 'P -6 2'
_cell_length_a 4.4425
_cell_length_b 4.4425
_cell_length_c 2.9914
_cell_angle_alpha 90.00
_cell_angle_beta 90.00
_cell_angle_gamma 120.00
loop_
_atom_site_label
_atom_site_type_symbol
_atom_site_fract_x
_atom_site_fract_y
_atom_site_fract_z
_atom_site_occupancy
Cd1 Cd 0.0000 0.0000 0.0000 1
Si1 Si 0.6667 0.3333 0.5000 1
W1 W 0.3333 0.6667 0.5000 1
```